[1]
The following is a DFT calculation (SCAN) of a PBEsol-optimized structure of Hf3BeNb.

```
data_Hf3BeNb
_chemical_formula_sum 'Hf3 Be1 Nb1'
_cell_length_a 4.596
_cell_length_b 4.596
_cell_length_c 4.596
_cell_angle_alpha 90.00
_cell_angle_beta 90.00
_cell_angle_gamma 90.00
_space_group_name_H-M_alt 'P m -3 m'
_space_group_IT_number 221
_space_group_name_Hall '-P 4 2 3'
loop_
_atom_site_label
_atom_site_type_symbol
_atom_site_fract_x
_atom_site_fract_y
_atom_site_fract_z
Hf1 Hf 0.000 0.000 0.500
Be1 Be 0.000 0.000 0.000
Nb1 Nb 0.500 0.500 0.500
```

---

[2]
The following is a DFT calculation (SCAN) of a PBEsol-optimized structure of Hf2BeNb.

```
data_Hf2BeNb
_chemical_formula_sum 'Hf2 Be1 Nb1'
_cell_length_a 4.191
_cell_length_b 4.191
_cell_length_c 3.956
_cell_angle_alpha 90.00
_cell_angle_beta 90.00
_cell_angle_gamma 90.00
_space_group_name_H-M_alt 'P 4/m m m'
_space_group_IT_number 123
_space_group_name_Hall '-P 4 2'
loop_
_atom_site_label
_atom_site_type_symbol
_atom_site_fract_x
_atom_site_fract_y
_atom_site_fract_z
Hf1 Hf 0.000 0.500 0.000
Be1 Be 0.000 0.000 0.500
Nb1 Nb 0.500 0.500 0.500
```

---

[3]
The following is a DFT calculation (SCAN) of a PBEsol-optimized structure of HfBeNb2Os.

```
data_HfBeNb2Os
_chemical_formula_sum 'Hf1 Be1 Nb2 Os1'
_cell_length_a 4.784
_cell_length_b 4.784
_cell_length_c 4.935
_cell_angle_alpha 90.00
_cell_angle_beta 90.00
_cell_angle_gamma 90.00
_space_group_name_H-M_alt 'P 4/m m m'
_space_group_IT_number 123
_space_group_name_Hall '-P 4 2'
loop_
_atom_site_label
_atom_site_type_symbol
_atom_site_fract_x
_atom_site_fract_y
_atom_site_fract_z
Hf1 Hf 0.000 0.000 0.000
Be1 Be 0.500 0.500 0.000
Nb1 Nb 0.000 0.500 0.500
Os1 Os 0.000 0.000 0.500
```

---

ΔE_f? In order: 0.560; 0.046; 1.064 eV per atom.